# 1
Here is KLiCd after structural relaxation from Alexandria. Energies are from PBE.

Properties
The mass density comes out at 2.8 g cm⁻³. As for the offset from the most stable computed form: 0.02 eV/f.u. The formation energy comes out at -28 meV/atom.

a = 3.796 Å, b = 3.962 Å, c = 12.722 Å
α = 90.00°, β = 90.00°, γ = 90.00°
Space group Imm2 (No. 44)
Symmetry-distinct sites (fractional):
K 0.000 0.000 0.000
Li 0.000 0.000 0.273
Cd 0.000 0.000 0.710

---

# 2
Here is ZnCrAu2 after structural relaxation from Alexandria. Energies are from PBE.

Properties
The mass density comes out at 12.6 g cm⁻³. The formation energy comes out at 139 meV/atom.

a = 2.9886 Å, b = 2.9886 Å, c = 26.1807 Å
α = 90.00°, β = 90.00°, γ = 120.00°
Space group R-3m (No. 166, hexagonal axes)
Symmetry-distinct sites (fractional):
Zn 0.0000 0.0000 0.0000
Cr 0.0000 0.0000 0.5000
Au 0.0000 0.0000 0.2502

---

# 3
Here is As2RuOF after structural relaxation from Alexandria. Energies are from PBE.

Properties
As for the raw formation energy: 0.985 eV per atom. The mass density comes out at 5.7 g cm⁻³.

a = 4.542 Å, b = 4.542 Å, c = 4.032 Å
α = 90.00°, β = 90.00°, γ = 90.00°
Space group P4/mmm (No. 123)
Symmetry-distinct sites (fractional):
As 0.000 0.500 0.000
Ru 0.000 0.000 0.500
O 0.500 0.500 0.500
F 0.000 0.000 0.000

---

# 4
Here is SrIr2Se after structural relaxation from Alexandria. Energies are from PBE.

Properties
As for the raw formation energy: 0.060 eV per atom. The mass density comes out at 10.9 g cm⁻³.

a = 3.620 Å, b = 3.620 Å, c = 6.434 Å
α = 90.00°, β = 90.00°, γ = 90.00°
Space group P4mm (No. 99)
Symmetry-distinct sites (fractional):
Sr 0.000 0.000 0.000
Ir 0.000 0.000 0.465
Ir 0.500 0.500 0.361
Se 0.500 0.500 0.749

---

# 5
Here is SbP2Ir after structural relaxation from Alexandria. Energies are from PBE.

Properties
As for the raw formation energy: 0.608 eV per atom. The mass density comes out at 9.2 g cm⁻³.

a = 3.045 Å, b = 4.641 Å, c = 4.788 Å
α = 90.00°, β = 90.00°, γ = 90.00°
Space group Pmmm (No. 47)
Symmetry-distinct sites (fractional):
Sb 0.000 0.000 0.000
P 0.000 0.500 0.500
P 0.500 0.500 0.000
Ir 0.500 0.000 0.500

---

# 6
Here is K3Zr3FeS8 after structural relaxation from Alexandria. Energies are from PBE.

Properties
As for the raw formation energy: -1.289 eV per atom. The mass density comes out at 3.3 g cm⁻³.

a = 12.670 Å, b = 7.302 Å, c = 8.701 Å
α = 90.00°, β = 119.10°, γ = 90.00°
Space group C2/m (No. 12)
Symmetry-distinct sites (fractional):
K 0.000 0.000 0.000
K 0.250 0.250 0.000
Zr 0.000 0.500 0.500
Zr 0.250 0.250 0.500
Fe 0.000 0.000 0.500
S 0.016 0.234 0.315
S 0.218 0.000 0.685
S 0.233 0.500 0.701

---

# 7
Here is La2TcOsAu after structural relaxation from Alexandria. Energies are from PBE.

Properties
The mass density comes out at 9.2 g cm⁻³. The formation energy comes out at 310 meV/atom.

a = 5.473 Å, b = 5.473 Å, c = 4.618 Å
α = 90.00°, β = 90.00°, γ = 90.00°
Space group P4/mmm (No. 123)
Symmetry-distinct sites (fractional):
La 0.000 0.500 0.000
Tc 0.000 0.000 0.000
Os 0.000 0.000 0.500
Au 0.500 0.500 0.500

---

# 8
Here is TlReP2 after structural relaxation from Alexandria. Energies are from PBE.

Properties
The mass density comes out at 11.0 g cm⁻³. As for the offset from the most stable computed form: 4.33 eV/f.u. The formation energy comes out at 1094 meV/atom.

a = 3.283 Å, b = 4.425 Å, c = 4.683 Å
α = 90.00°, β = 90.00°, γ = 90.00°
Space group Pmmm (No. 47)
Symmetry-distinct sites (fractional):
Tl 0.000 0.000 0.000
Re 0.500 0.000 0.500
P 0.000 0.500 0.500
P 0.500 0.500 0.000

---

# 9
Here is Pr14SmMg after structural relaxation from Alexandria. Energies are from PBE.

Properties
The mass density comes out at 6.3 g cm⁻³. The formation energy comes out at 3 meV/atom.

a = 10.444 Å, b = 10.381 Å, c = 10.381 Å
α = 90.00°, β = 90.00°, γ = 90.00°
Space group Amm2 (No. 38)
Symmetry-distinct sites (fractional):
Pr 0.000 0.000 0.000
Pr 0.000 0.000 0.500
Pr 0.000 0.249 0.250
Pr 0.253 0.000 0.751
Pr 0.253 0.249 0.000
Pr 0.254 0.000 0.249
Pr 0.500 0.249 0.750
Sm 0.500 0.000 0.500
Mg 0.500 0.000 0.000